This record from Alexandria via LeMat-Bulk describes a relaxed structure of CaCl. The functional is PBE.

Cell and atoms, written as POSCAR:
```
CaCl
1.0
0.0000 4.9447 6.0501
4.3892 0.0000 6.0501
4.3892 4.9447 0.0000
Ca Cl
4 4
Cartesian
5.6296 3.7085 4.5376
7.8242 6.1808 7.5626
0.9542 3.7085 4.5376
3.1488 6.1808 7.5626
3.2919 3.7085 2.8171
5.4865 6.1808 5.8421
3.2919 3.7085 6.2581
5.4865 6.1808 9.2832
```

**Uncorrected energy**: -0.130 Ha/atom
**E_form (uncorrected)**: -1604 meV/atom
**Space-group type**: Fddd, No. 70
**Magnetization**: 0.00 μB/f.u.